The following is a GGA-PBE calculation of crystalline LaPrTm2 at its relaxed geometry, from the Alexandria database.

Properties
The formation enthalpy at 0 K is 0.07 eV/f.u. For the raw total energy, the calculation gives -4.644 eV/atom. The value obtained for the energy above the most stable polymorph in this dataset is 0.000 eV/atom.

Cell lengths 3.6229, 3.6229, 11.8006 Å; angles 81.17, 81.17, 60.00 degrees
Last column: nearest neighbours and their distance in Å.
Atoms (fractional coordinates):
Pr1 0.5000 0.5000 0.5000  6 Tm 3.57, 6 Pr 3.62
Tm1 0.2496 0.2496 0.2512  3 Pr 3.57, 3 La 3.59, 6 Tm 3.62
Tm2 0.7504 0.7504 0.7488  3 Pr 3.57, 3 La 3.59, 6 Tm 3.62
La1 0.0000 0.0000 0.0000  6 Tm 3.59, 6 La 3.62


The following is a GGA-PBE calculation of crystalline LaPr6Tm3 at its relaxed geometry, from the Alexandria database.

Properties
The formation enthalpy at 0 K is 1.39 eV/f.u. For the raw total energy, the calculation gives -4.563 eV/atom. The value obtained for the energy above the most stable polymorph in this dataset is 0.000 eV/atom.

Cell lengths 6.4114, 11.1596, 11.1596 Å; angles 120.55, 90.00, 90.00 degrees
Last column: nearest neighbours and their distance in Å.
Atoms (fractional coordinates):
La1 0.0945 0.1879 0.8121  4 Pr 3.30-3.39, 2 Tm 3.37
La2 0.5945 0.8121 0.1879  4 Pr 3.30-3.39, 2 Tm 3.37
Pr1 0.0523 0.7072 0.6282  4 Tm 3.50-3.78, 5 Pr 3.55-3.87
Pr2 0.5523 0.6282 0.7072  4 Tm 3.50-3.78, 5 Pr 3.55-3.87
Pr3 0.3705 0.5246 0.9430  1 Pr 3.16, 1 La 3.30, 2 Tm 3.33-3.51
Pr4 0.8705 0.9430 0.5246  1 Pr 3.16, 1 La 3.30, 2 Tm 3.33-3.51
Pr5 0.3672 0.9648 0.0352  1 La 3.30, 2 Pr 3.48, 4 Tm 3.56-3.58
Pr6 0.6515 0.2835 0.7165  2 Pr 3.16, 1 La 3.39, 1 Tm 3.44
Pr7 0.1515 0.7165 0.2835  2 Pr 3.16, 1 La 3.39, 1 Tm 3.44
Pr8 0.8672 0.0352 0.9648  1 La 3.30, 2 Pr 3.48, 4 Tm 3.56-3.58
Pr9 0.3705 0.0570 0.4754  1 Pr 3.16, 1 La 3.30, 2 Tm 3.33-3.51
Pr10 0.8705 0.4754 0.0570  1 Pr 3.16, 1 La 3.30, 2 Tm 3.33-3.51
Pr11 0.0523 0.3718 0.2928  4 Tm 3.50-3.78, 5 Pr 3.55-3.87
Pr12 0.5523 0.2928 0.3718  4 Tm 3.50-3.78, 5 Pr 3.55-3.87
Tm1 0.4653 0.9408 0.7097  6 Pr 3.33-3.58, 1 La 3.37, 1 Tm 3.70
Tm2 0.9653 0.7097 0.9408  6 Pr 3.33-3.58, 1 La 3.37, 1 Tm 3.70
Tm3 0.0958 0.3832 0.6168  7 Pr 3.44-3.78, 2 Tm 3.70, 1 La 3.79
Tm4 0.5958 0.6168 0.3832  7 Pr 3.44-3.78, 2 Tm 3.70, 1 La 3.79
Tm5 0.9653 0.0592 0.2903  6 Pr 3.33-3.58, 1 La 3.37, 1 Tm 3.70
Tm6 0.4653 0.2903 0.0592  6 Pr 3.33-3.58, 1 La 3.37, 1 Tm 3.70